Record 1
The following is a DFT calculation (PBE) of crystalline KNaGeAu at its relaxed geometry.

Values from the calculation:
**Calculated total energy**: -0.205 Ry/atom

Cell and atoms, written as POSCAR:
```
KNaGeAu
1.0
4.6095 -0.0122 -0.0048
-2.2884 4.0013 0.0048
-2.2921 -1.3361 6.3604
K Na Ge Au
1 1 1 1
Direct
0.3887 0.0596 0.4482
0.0020 0.8651 0.8671
0.8189 0.2739 0.0928
0.4826 0.6058 0.0884
```

=====

Record 2
The following is a DFT calculation (PBE) of crystalline K2NaGeAu at its relaxed geometry.

Values from the calculation:
**Calculated total energy**: -0.171 Ry/atom

Cell and atoms, written as POSCAR:
```
K2NaGeAu
1.0
6.5152 0.0000 0.0000
0.0000 6.5152 0.0000
0.0000 0.0000 4.7957
Na Ge Au K
1 1 1 2
Direct
0.5000 0.5000 0.5000
0.0000 0.0000 0.5000
0.0000 0.0000 0.0000
0.0000 0.5000 0.0000
0.5000 0.0000 0.0000
```

=====

Record 3
The following is a DFT calculation (PBE) of crystalline KNbGeAu2 at its relaxed geometry.

Values from the calculation:
**Calculated total energy**: -0.189 Ry/atom

Cell and atoms, written as POSCAR:
```
KNbGeAu2
1.0
5.3011 0.0000 0.0000
0.0000 5.1978 0.0000
0.0000 0.0000 5.3011
K Nb Au Ge
1 1 2 1
Direct
0.0000 0.0000 0.0000
0.0000 0.5000 0.0000
0.0000 0.0000 0.5000
0.5000 0.0000 0.0000
0.5000 0.5000 0.5000
```

=====

Record 4
The following is a DFT calculation (PBE) of crystalline K2GeAuO4 at its relaxed geometry.

Values from the calculation:
**Calculated total energy**: -0.364 Ry/atom
**Formation energy without anion corrections**: -9.7 eV/f.u.

Cell and atoms, written as POSCAR:
```
K2GeAuO4
1.0
5.5780 0.1588 0.2432
-2.2331 5.1140 -0.2432
-2.2331 -2.2807 4.5837
K Ge Au O
2 1 1 4
Direct
0.5000 0.7500 0.2500
0.0000 0.0000 0.0000
0.0000 0.5000 0.5000
0.5000 0.2500 0.7500
0.6711 0.4608 0.5130
0.0522 0.2103 0.5392
0.9478 0.4870 0.1581
0.3289 0.8419 0.7897
```

=====

Record 5
The following is a DFT calculation (PBE) of crystalline KGeOsAu2 at its relaxed geometry.

Values from the calculation:
**Calculated total energy**: -0.171 Ry/atom

Cell and atoms, written as POSCAR:
```
KGeOsAu2
1.0
5.2189 0.0000 0.0000
0.0000 5.3517 0.0000
0.0000 0.0000 5.2189
Os Ge Au K
1 1 2 1
Direct
0.5000 0.5000 0.5000
0.0000 0.5000 0.0000
0.0000 0.0000 0.5000
0.5000 0.0000 0.0000
0.0000 0.0000 0.0000
```

=====

Record 6
The following is a DFT calculation (PBE) of crystalline KGePAu2 at its relaxed geometry.

Values from the calculation:
**Calculated total energy**: -0.219 Ry/atom

Cell and atoms, written as POSCAR:
```
KGePAu2
1.0
4.8720 0.0000 0.0000
0.0000 6.5405 0.0000
0.0000 0.0000 4.8720
P Ge Au K
1 1 2 1
Direct
0.5000 0.5000 0.5000
0.0000 0.0000 0.0000
0.0000 0.0000 0.5000
0.5000 0.0000 0.0000
0.0000 0.5000 0.0000
```

=====

Record 7
The following is a DFT calculation (PBE) of crystalline KRb2GeAu at its relaxed geometry.

Values from the calculation:
**Calculated total energy**: -0.163 Ry/atom

Cell and atoms, written as POSCAR:
```
KRb2GeAu
1.0
-5.7080 2.7717 -2.7875
-0.4190 -5.3155 -4.4275
-2.7392 -2.4374 3.1855
Ge Au K Rb
1 1 1 2
Direct
0.0000 0.0000 0.5000
0.0000 0.0000 0.0000
0.5000 0.5000 0.5000
0.0000 0.5000 0.0000
0.5000 0.0000 0.0000
```

=====

Record 8
The following is a DFT calculation (PBE) of crystalline K2RbGeAu at its relaxed geometry.

Values from the calculation:
**Calculated total energy**: -0.164 Ry/atom

Cell and atoms, written as POSCAR:
```
K2RbGeAu
1.0
6.6732 0.0000 0.0000
0.0000 6.6732 0.0000
0.0000 0.0000 4.8794
Ge Au K Rb
1 1 2 1
Direct
0.0000 0.0000 0.0000
0.0000 0.0000 0.5000
0.0000 0.5000 0.0000
0.5000 0.0000 0.0000
0.5000 0.5000 0.5000
```